Below is crystalline Ag3RuCl at its relaxed geometry, with properties calculated at the GGA-PBE level.

Theoretical density in g/cm3: 6.6
Space group: Pm-3m, No. 221

Cell lengths 4.874, 4.874, 4.874 Å; angles 90.00, 90.00, 90.00 degrees
Last column: magnetic moment on the atom in μB.
Atoms (fractional coordinates):
Ag  0.000  0.000  0.500  -0.03
Ag  0.000  0.500  0.000  -0.01
Ag  0.500  0.000  0.000  0.03
Ru  0.500  0.500  0.500  2.09
Cl  0.000  0.000  0.000  0.03

Below is crystalline Ag3RuCl9 at its relaxed geometry, with properties calculated at the GGA-PBE level.

Theoretical density in g/cm3: 3.1
Space group: Cc, No. 9

Cell lengths 7.384, 9.581, 12.877 Å; angles 91.75, 73.34, 67.34 degrees
Last column: magnetic moment on the atom in μB.
Atoms (fractional coordinates):
Cl  0.480  0.439  0.621  0.04
Cl  0.151  0.354  0.123  0.13
Cl  0.026  0.721  0.087  0.01
Cl  0.371  0.854  0.623  0.13
Cl  0.526  0.141  0.350  0.01
Cl  0.422  0.440  0.903  0.07
Cl  0.816  0.134  0.057  0.01
Cl  0.166  0.221  0.587  0.01
Cl  0.128  0.276  0.872  0.10
Cl  0.681  0.030  0.562  0.05
Cl  0.727  0.530  0.062  0.05
Cl  0.457  0.528  0.335  -0.03
Cl  0.234  0.940  0.403  0.07
Cl  0.993  0.634  0.557  0.01
Cl  0.460  0.939  0.121  0.04
Cl  0.680  0.028  0.835  -0.03
Cl  0.983  0.641  0.850  0.01
Cl  0.724  0.776  0.372  0.10
Ag  0.289  0.395  0.462  -0.07
Ag  0.693  0.582  0.588  0.07
Ag  0.854  0.895  0.962  -0.07
Ag  0.137  0.082  0.088  0.07
Ag  0.493  0.729  0.232  0.00
Ag  0.546  0.229  0.732  0.00
Ru  0.077  0.488  0.985  1.36
Ru  0.450  0.988  0.485  1.36

Below is crystalline AgRu2Cl at its relaxed geometry, with properties calculated at the GGA-PBE level.

Theoretical density in g/cm3: 9.0
Space group: F-43m, No. 216

Cell lengths 4.483, 4.483, 4.483 Å; angles 120.04, 120.04, 89.92 degrees
Atoms (fractional coordinates):
Ag  0.500  0.500  0.000
Ru  0.250  0.750  0.500
Ru  0.000  0.000  0.000
Cl  0.750  0.250  0.500

Below is crystalline AgRuCl3 at its relaxed geometry, with properties calculated at the GGA-PBE level.

Theoretical density in g/cm3: 4.1
Space group: Pm-3m, No. 221

Cell lengths 5.031, 5.031, 5.031 Å; angles 90.00, 90.00, 90.00 degrees
Last column: magnetic moment on the atom in μB.
Atoms (fractional coordinates):
Ag  0.000  0.000  0.000  0.01
Ru  0.500  0.500  0.500  2.88
Cl  0.000  0.000  0.500  0.03
Cl  0.500  0.000  0.000  0.03
Cl  0.000  0.500  0.000  0.04

| no. | final energy (eV/atom) |
| --- | --- |
| 1 | -2.649 |
| 2 | -3.052 |
| 3 | -4.848 |
| 4 | -2.962 |